{"formula": "ZnCuTe2", "functional": "GGA-PBE", "state": "optimized geometry", "energy_ha_per_atom": -0.115, "dos_at_fermi_per_ev_atom": 0.549, "crystal_system": "monoclinic", "rho_g_cm3": 5.806, "e_form_raw_ev_per_atom": -0.214, "e_above_lowest_polymorph_mev_per_atom": 10, "lattice_angstrom": [[4.2301, 0.0818, -0.0099], [-0.1343, 7.0596, -0.0357], [0.0143, 0.0336, 7.3548]], "species": ["Te", "Te", "Cu", "Zn", "Te", "Zn", "Cu", "Te"], "frac_coords": [[0.3859, 0.4293, 0.9477], [0.8879, 0.4213, 0.4270], [0.3880, 0.5586, 0.2771], [0.8855, 0.5524, 0.7661], [0.3880, 0.9216, 0.2813], [0.3864, 0.0528, 0.9422], [0.8882, 0.0582, 0.4321], [0.8865, 0.9290, 0.7609]]}